(1)
DFT (PBE) results for an optimized crystal structure of Cd2FeRe.

The structure in extended XYZ format:
```
4
Lattice="-2.444 1.212 -0.877 0.639 -0.673 -2.711 -3.192 -7.763 -1.830" Properties=species:S:1:pos:R:3 pbc="T T T"
Cd -2.001 -1.761 -1.537
Fe -1.399 -4.444 -2.240
Re -2.963 -5.400 -3.886
Cd -3.103 -7.601 -1.855
```

The energy above the most stable polymorph in this dataset is 0.0000 eV per atom.

---

(2)
DFT (PBE) results for an optimized crystal structure of CdFeRe2.

The structure in extended XYZ format:
```
4
Lattice="-2.171 -1.569 0.181 0.962 0.598 2.434 -5.360 7.449 0.289" Properties=species:S:1:pos:R:3 pbc="T T T"
Re -5.222 7.256 0.281
Fe -4.624 5.101 1.524
Cd -1.944 1.377 1.380
Re -2.819 3.917 0.152
```

---

(3)
DFT (PBE) results for an optimized crystal structure of CdFeRe2.

The structure in extended XYZ format:
```
4
Lattice="-1.647 4.197 -2.109 -4.556 1.398 1.436 4.172 -1.369 2.344" Properties=species:S:1:pos:R:3 pbc="T T T"
Fe -0.288 2.813 -0.051
Re -3.102 2.797 -0.337
Re 0.000 0.000 0.000
Cd -1.743 1.413 1.721
```

---

(4)
DFT (PBE) results for an optimized crystal structure of Cd2FeRe.

The structure in extended XYZ format:
```
4
Lattice="5.190 -0.006 0.000 -2.176 4.712 0.000 0.000 0.000 2.745" Properties=species:S:1:pos:R:3 pbc="T T T"
Cd 0.000 0.000 0.000
Fe 2.595 -0.003 1.372
Re -1.088 2.356 1.372
Cd 1.507 2.353 0.000
```

The energy above the most stable polymorph in this dataset is 0.3360 eV per atom.

---

(5)
DFT (PBE) results for an optimized crystal structure of Cd2FeRe.

The structure in extended XYZ format:
```
4
Lattice="4.361 0.000 0.000 0.000 3.909 0.000 0.000 0.000 3.909" Properties=species:S:1:pos:R:3 pbc="T T T"
Cd 0.000 0.000 0.000
Fe 2.181 1.954 0.000
Re 2.181 0.000 1.954
Cd 0.000 1.954 1.954
```

The energy above the most stable polymorph in this dataset is 0.3804 eV per atom.

---

(6)
DFT (PBE) results for an optimized crystal structure of Cd2FeRe.

The structure in extended XYZ format:
```
4
Lattice="0.000 3.196 3.196 3.196 0.000 3.196 3.196 3.196 0.000" Properties=species:S:1:pos:R:3 pbc="T T T"
Fe 0.000 0.000 0.000
Cd 1.598 1.598 1.598
Cd 4.793 4.793 4.793
Re 3.196 3.196 3.196
```

The energy above the most stable polymorph in this dataset is 0.8186 eV per atom.

---

no.,formation energy from the elements (eV per atom)
1,0.245
2,0.428
3,0.573
4,0.581
5,0.626
6,1.064